1.
# GGA-PBE Fe3Te4, optimized geometry
# * electronic total energy: -5.33 eV per atom
data_Fe3Te4
_chemical_formula_sum 'Fe6 Te8'
_cell_length_a 7.689
_cell_length_b 7.689
_cell_length_c 7.689
_cell_angle_alpha 115.10
_cell_angle_beta 111.96
_cell_angle_gamma 101.64
_symmetry_space_group_name_H-M 'P 1'
_symmetry_Int_Tables_number 1
_symmetry_space_group_name_Hall 'P 1'
loop_
_atom_site_label
_atom_site_type_symbol
_atom_site_fract_x
_atom_site_fract_y
_atom_site_fract_z
Te1 Te 0.528 0.556 0.536
Te2 Te 0.520 0.991 0.964
Te3 Te 0.000 0.480 0.543
Te4 Te 0.972 0.509 0.028
Te5 Te 0.437 0.457 0.957
Te6 Te 0.063 0.020 0.020
Te7 Te 0.980 0.944 0.472
Te8 Te 0.500 0.043 0.480
Fe1 Fe 0.619 0.750 0.369
Fe2 Fe 0.250 0.391 0.141
Fe3 Fe 0.881 0.250 0.131
Fe4 Fe 0.638 0.388 0.250
Fe5 Fe 0.862 0.112 0.750
Fe6 Fe 0.750 0.109 0.359

2.
# GGA-PBE FeTe8, optimized geometry
# * electronic total energy: -3.49 eV per atom
data_FeTe8
_chemical_formula_sum 'Fe1 Te8'
_cell_length_a 8.888
_cell_length_b 8.888
_cell_length_c 3.820
_cell_angle_alpha 90.00
_cell_angle_beta 90.00
_cell_angle_gamma 120.00
_symmetry_space_group_name_H-M 'P 1'
_symmetry_Int_Tables_number 1
_symmetry_space_group_name_Hall 'P 1'
loop_
_atom_site_label
_atom_site_type_symbol
_atom_site_fract_x
_atom_site_fract_y
_atom_site_fract_z
Te1 Te 0.000 0.206 0.500
Te2 Te 0.667 0.333 0.500
Te3 Te 0.333 0.667 0.500
Te4 Te 0.000 0.531 0.000
Te5 Te 0.469 0.469 0.000
Te6 Te 0.531 0.000 0.000
Te7 Te 0.206 0.000 0.500
Te8 Te 0.794 0.794 0.500
Fe1 Fe 0.000 0.000 0.000

3.
# GGA-PBE Fe3Te4, optimized geometry
# * electronic total energy: -5.29 eV per atom
data_Fe3Te4
_chemical_formula_sum 'Fe12 Te16'
_cell_length_a 7.591
_cell_length_b 7.591
_cell_length_c 10.696
_cell_angle_alpha 90.00
_cell_angle_beta 90.00
_cell_angle_gamma 90.00
_symmetry_space_group_name_H-M 'P 1'
_symmetry_Int_Tables_number 1
_symmetry_space_group_name_Hall 'P 1'
loop_
_atom_site_label
_atom_site_type_symbol
_atom_site_fract_x
_atom_site_fract_y
_atom_site_fract_z
Te1 Te 0.019 0.751 0.241
Te2 Te 0.751 0.019 0.509
Te3 Te 0.520 0.753 0.758
Te4 Te 0.019 0.249 0.259
Te5 Te 0.249 0.019 0.491
Te6 Te 0.981 0.249 0.741
Te7 Te 0.753 0.520 0.992
Te8 Te 0.480 0.247 0.258
Te9 Te 0.249 0.981 0.009
Te10 Te 0.247 0.480 0.492
Te11 Te 0.751 0.981 0.991
Te12 Te 0.520 0.247 0.742
Te13 Te 0.480 0.753 0.242
Te14 Te 0.753 0.480 0.508
Te15 Te 0.247 0.520 0.008
Te16 Te 0.981 0.751 0.759
Fe1 Fe 0.500 0.253 0.500
Fe2 Fe 0.747 0.500 0.750
Fe3 Fe 0.751 0.000 0.750
Fe4 Fe 0.000 0.249 0.500
Fe5 Fe 0.000 0.751 0.000
Fe6 Fe 0.750 0.750 0.375
Fe7 Fe 0.249 0.000 0.250
Fe8 Fe 0.750 0.250 0.125
Fe9 Fe 0.250 0.250 0.875
Fe10 Fe 0.250 0.750 0.625
Fe11 Fe 0.253 0.500 0.250
Fe12 Fe 0.500 0.747 0.000

4.
# GGA-PBE Fe3Te, optimized geometry
# * electronic total energy: -6.82 eV per atom
data_Fe3Te
_chemical_formula_sum 'Fe6 Te2'
_cell_length_a 5.596
_cell_length_b 5.596
_cell_length_c 4.346
_cell_angle_alpha 90.00
_cell_angle_beta 90.00
_cell_angle_gamma 120.00
_symmetry_space_group_name_H-M 'P 1'
_symmetry_Int_Tables_number 1
_symmetry_space_group_name_Hall 'P 1'
loop_
_atom_site_label
_atom_site_type_symbol
_atom_site_fract_x
_atom_site_fract_y
_atom_site_fract_z
Te1 Te 0.333 0.667 0.750
Te2 Te 0.667 0.333 0.250
Fe1 Fe 0.852 0.148 0.750
Fe2 Fe 0.296 0.148 0.750
Fe3 Fe 0.148 0.852 0.250
Fe4 Fe 0.852 0.704 0.750
Fe5 Fe 0.704 0.852 0.250
Fe6 Fe 0.148 0.296 0.250

5.
# GGA-PBE Th3FeTe2, optimized geometry
# * electronic total energy: -6.92 eV per atom
data_Th3FeTe2
_chemical_formula_sum 'Th3 Fe1 Te2'
_cell_length_a 7.907
_cell_length_b 7.907
_cell_length_c 3.989
_cell_angle_alpha 104.04
_cell_angle_beta 104.04
_cell_angle_gamma 46.46
_symmetry_space_group_name_H-M 'P 1'
_symmetry_Int_Tables_number 1
_symmetry_space_group_name_Hall 'P 1'
loop_
_atom_site_label
_atom_site_type_symbol
_atom_site_fract_x
_atom_site_fract_y
_atom_site_fract_z
Th1 Th 0.874 0.874 0.861
Th2 Th 0.126 0.126 0.139
Th3 Th 0.500 0.500 0.500
Fe1 Fe 0.000 0.000 0.500
Te1 Te 0.683 0.683 0.180
Te2 Te 0.317 0.317 0.820

6.
# GGA-PBE TlFe2Te3, optimized geometry
# * electronic total energy: -4.81 eV per atom
data_TlFe2Te3
_chemical_formula_sum 'Tl2 Fe4 Te6'
_cell_length_a 8.805
_cell_length_b 3.757
_cell_length_c 9.740
_cell_angle_alpha 90.00
_cell_angle_beta 112.05
_cell_angle_gamma 90.00
_symmetry_space_group_name_H-M 'P 1'
_symmetry_Int_Tables_number 1
_symmetry_space_group_name_Hall 'P 1'
loop_
_atom_site_label
_atom_site_type_symbol
_atom_site_fract_x
_atom_site_fract_y
_atom_site_fract_z
Fe1 Fe 0.482 0.750 0.894
Fe2 Fe 0.529 0.750 0.317
Fe3 Fe 0.471 0.250 0.683
Fe4 Fe 0.518 0.250 0.106
Te1 Te 0.243 0.750 0.641
Te2 Te 0.757 0.250 0.359
Te3 Te 0.295 0.750 0.049
Te4 Te 0.705 0.250 0.951
Te5 Te 0.349 0.250 0.383
Te6 Te 0.651 0.750 0.617
Tl1 Tl 0.999 0.250 0.768
Tl2 Tl 0.001 0.750 0.232

7.
# GGA-PBE TlZnFeTe3, optimized geometry
# * electronic total energy: -3.67 eV per atom
data_TlZnFeTe3
_chemical_formula_sum 'Tl2 Zn2 Fe2 Te6'
_cell_length_a 8.612
_cell_length_b 4.091
_cell_length_c 9.709
_cell_angle_alpha 90.00
_cell_angle_beta 109.63
_cell_angle_gamma 90.00
_symmetry_space_group_name_H-M 'P 1'
_symmetry_Int_Tables_number 1
_symmetry_space_group_name_Hall 'P 1'
loop_
_atom_site_label
_atom_site_type_symbol
_atom_site_fract_x
_atom_site_fract_y
_atom_site_fract_z
Zn1 Zn 0.077 0.750 0.368
Zn2 Zn 0.923 0.250 0.632
Te1 Te 0.311 0.250 0.372
Te2 Te 0.138 0.250 0.969
Te3 Te 0.862 0.750 0.031
Te4 Te 0.181 0.750 0.666
Te5 Te 0.819 0.250 0.334
Te6 Te 0.689 0.750 0.628
Tl1 Tl 0.514 0.250 0.810
Tl2 Tl 0.486 0.750 0.190
Fe1 Fe 0.021 0.250 0.185
Fe2 Fe 0.979 0.750 0.815

8.
# GGA-PBE ZrTlFeTe3, optimized geometry
# * electronic total energy: -5.26 eV per atom
data_ZrTlFeTe3
_chemical_formula_sum 'Zr2 Tl2 Fe2 Te6'
_cell_length_a 8.965
_cell_length_b 3.926
_cell_length_c 10.909
_cell_angle_alpha 90.00
_cell_angle_beta 113.63
_cell_angle_gamma 90.00
_symmetry_space_group_name_H-M 'P 1'
_symmetry_Int_Tables_number 1
_symmetry_space_group_name_Hall 'P 1'
loop_
_atom_site_label
_atom_site_type_symbol
_atom_site_fract_x
_atom_site_fract_y
_atom_site_fract_z
Tl1 Tl 0.999 0.250 0.790
Tl2 Tl 0.001 0.750 0.210
Te1 Te 0.700 0.250 0.954
Te2 Te 0.233 0.750 0.671
Te3 Te 0.767 0.250 0.329
Te4 Te 0.300 0.750 0.046
Te5 Te 0.679 0.750 0.619
Te6 Te 0.321 0.250 0.381
Zr1 Zr 0.471 0.250 0.682
Zr2 Zr 0.529 0.750 0.318
Fe1 Fe 0.519 0.250 0.091
Fe2 Fe 0.481 0.750 0.909

9.
# GGA-PBE Tm2FeTe6, optimized geometry
# * electronic total energy: -4.64 eV per atom
data_Tm2FeTe6
_chemical_formula_sum 'Tm2 Fe1 Te6'
_cell_length_a 8.334
_cell_length_b 8.334
_cell_length_c 3.917
_cell_angle_alpha 90.00
_cell_angle_beta 90.00
_cell_angle_gamma 120.00
_symmetry_space_group_name_H-M 'P 1'
_symmetry_Int_Tables_number 1
_symmetry_space_group_name_Hall 'P 1'
loop_
_atom_site_label
_atom_site_type_symbol
_atom_site_fract_x
_atom_site_fract_y
_atom_site_fract_z
Te1 Te 0.770 0.770 0.500
Te2 Te 0.000 0.557 0.000
Te3 Te 0.230 0.000 0.500
Te4 Te 0.000 0.230 0.500
Te5 Te 0.443 0.443 0.000
Te6 Te 0.557 0.000 0.000
Tm1 Tm 0.333 0.667 0.500
Tm2 Tm 0.667 0.333 0.500
Fe1 Fe 0.000 0.000 0.000

10.
# GGA-PBE Tm3Zr3FeTe2, optimized geometry
# * E above lowest polymorph: 0.159 eV per atom
data_Tm3Zr3FeTe2
_chemical_formula_sum 'Tm3 Zr3 Fe1 Te2'
_cell_length_a 8.015
_cell_length_b 8.015
_cell_length_c 3.684
_cell_angle_alpha 90.00
_cell_angle_beta 90.00
_cell_angle_gamma 120.00
_symmetry_space_group_name_H-M 'P 1'
_symmetry_Int_Tables_number 1
_symmetry_space_group_name_Hall 'P 1'
loop_
_atom_site_label
_atom_site_type_symbol
_atom_site_fract_x
_atom_site_fract_y
_atom_site_fract_z
Zr1 Zr 0.000 0.404 0.000
Zr2 Zr 0.596 0.596 0.000
Zr3 Zr 0.404 0.000 0.000
Fe1 Fe 0.000 0.000 0.000
Tm1 Tm 0.000 0.760 0.500
Tm2 Tm 0.760 0.000 0.500
Tm3 Tm 0.240 0.240 0.500
Te1 Te 0.333 0.667 0.500
Te2 Te 0.667 0.333 0.500

11.
# GGA-PBE Tm3Zr3FeTe2, optimized geometry
# * E above lowest polymorph: 0.000 eV per atom
data_Tm3Zr3FeTe2
_chemical_formula_sum 'Tm3 Zr3 Fe1 Te2'
_cell_length_a 8.015
_cell_length_b 8.015
_cell_length_c 3.762
_cell_angle_alpha 90.00
_cell_angle_beta 90.00
_cell_angle_gamma 120.00
_symmetry_space_group_name_H-M 'P 1'
_symmetry_Int_Tables_number 1
_symmetry_space_group_name_Hall 'P 1'
loop_
_atom_site_label
_atom_site_type_symbol
_atom_site_fract_x
_atom_site_fract_y
_atom_site_fract_z
Te1 Te 0.667 0.333 0.500
Te2 Te 0.333 0.667 0.500
Tm1 Tm 0.395 0.000 0.000
Tm2 Tm 0.000 0.395 0.000
Tm3 Tm 0.605 0.605 0.000
Zr1 Zr 0.768 0.000 0.500
Zr2 Zr 0.000 0.768 0.500
Zr3 Zr 0.232 0.232 0.500
Fe1 Fe 0.000 0.000 0.000

12.
# GGA-PBE Y7Fe2Te2, optimized geometry
# * electronic total energy: -6.68 eV per atom
data_Y7Fe2Te2
_chemical_formula_sum 'Y7 Fe2 Te2'
_cell_length_a 9.383
_cell_length_b 9.383
_cell_length_c 9.383
_cell_angle_alpha 155.89
_cell_angle_beta 66.05
_cell_angle_gamma 119.54
_symmetry_space_group_name_H-M 'P 1'
_symmetry_Int_Tables_number 1
_symmetry_space_group_name_Hall 'P 1'
loop_
_atom_site_label
_atom_site_type_symbol
_atom_site_fract_x
_atom_site_fract_y
_atom_site_fract_z
Y1 Y 0.026 0.894 0.132
Y2 Y 0.416 0.101 0.314
Y3 Y 0.787 0.101 0.686
Y4 Y 0.389 0.741 0.648
Y5 Y 0.477 0.477 0.000
Y6 Y 0.762 0.894 0.868
Y7 Y 0.092 0.741 0.352
Te1 Te 0.142 0.142 0.000
Te2 Te 0.740 0.240 0.500
Fe1 Fe 0.645 0.408 0.237
Fe2 Fe 0.170 0.408 0.763